(1)
The following is a DFT calculation (PBE-GGA) of a relaxed structure of Be3NbF. Values from VASP.

```
&SYSTEM
  ibrav = 0, nat = 5, ntyp = 3
/
ATOMIC_SPECIES
Be 9.01 Be.upf
Nb 92.91 Nb.upf
F 19.00 F.upf
CELL_PARAMETERS angstrom
3.818 0.000 0.000
0.000 3.818 0.000
0.000 0.000 3.818
ATOMIC_POSITIONS crystal
Be 0.000 0.000 0.500
Be 0.000 0.500 0.000
Be 0.500 0.000 0.000
Nb 0.500 0.500 0.500
F 0.000 0.000 0.000
```

Summary:
The value obtained for the energy relative to the lowest polymorph listed for this composition is 0 meV/atom. The calculation puts the uncorrected formation energy at -37 meV/atom.

(2)
The following is a DFT calculation (PBE-GGA) of a relaxed structure of BaMgAl2Fe. Values from VASP.

```
&SYSTEM
  ibrav = 0, nat = 5, ntyp = 4
/
ATOMIC_SPECIES
Ba 137.33 Ba.upf
Mg 24.30 Mg.upf
Al 26.98 Al.upf
Fe 55.84 Fe.upf
CELL_PARAMETERS angstrom
4.739 0.000 0.000
0.000 4.739 0.000
0.000 0.000 5.019
ATOMIC_POSITIONS crystal
Ba 0.000 0.000 0.000
Mg 0.500 0.500 0.000
Al 0.000 0.500 0.500
Al 0.500 0.000 0.500
Fe 0.500 0.500 0.500
```

Summary:
As for the formation energy from the elements: -57 kJ/mol of formula units.

(3)
The following is a DFT calculation (PBE-GGA) of a relaxed structure of YCd. Values from VASP.

```
&SYSTEM
  ibrav = 0, nat = 8, ntyp = 2
/
ATOMIC_SPECIES
Y 88.91 Y.upf
Cd 112.41 Cd.upf
CELL_PARAMETERS angstrom
0.000 4.754 5.990
3.987 0.000 5.990
3.987 4.754 0.000
ATOMIC_POSITIONS crystal
Y 0.067 0.683 0.067
Y 0.317 0.933 0.317
Y 0.683 0.067 0.683
Y 0.933 0.317 0.933
Cd 0.199 0.551 0.551
Cd 0.449 0.801 0.801
Cd 0.551 0.199 0.199
Cd 0.801 0.449 0.449
```

Summary:
As for the formation energy from the elements: -33 kJ/mol of formula units.

(4)
The following is a DFT calculation (PBE-GGA) of a relaxed structure of La12Ge3H5. Values from VASP.

```
&SYSTEM
  ibrav = 0, nat = 80, ntyp = 3
/
ATOMIC_SPECIES
La 138.91 La.upf
Ge 72.64 Ge.upf
H 1.01 H.upf
CELL_PARAMETERS angstrom
-8.075 8.075 8.075
8.075 -8.075 8.075
8.075 8.075 -8.075
ATOMIC_POSITIONS crystal
La 0.027 0.216 0.117
La 0.027 0.310 0.909
La 0.091 0.617 0.401
La 0.091 0.973 0.690
La 0.099 0.716 0.690
La 0.099 0.883 0.409
La 0.117 0.027 0.216
La 0.117 0.591 0.901
La 0.190 0.216 0.599
La 0.190 0.473 0.591
La 0.216 0.117 0.027
La 0.216 0.599 0.190
La 0.284 0.310 0.901
La 0.284 0.473 0.383
La 0.310 0.901 0.284
La 0.310 0.909 0.027
La 0.383 0.284 0.473
La 0.383 0.599 0.909
La 0.401 0.091 0.617
La 0.401 0.810 0.784
La 0.409 0.099 0.883
La 0.409 0.810 0.527
La 0.473 0.383 0.284
La 0.473 0.591 0.190
La 0.527 0.409 0.810
La 0.527 0.617 0.716
La 0.591 0.190 0.473
La 0.591 0.901 0.117
La 0.599 0.190 0.216
La 0.599 0.909 0.383
La 0.617 0.401 0.091
La 0.617 0.716 0.527
La 0.690 0.091 0.973
La 0.690 0.099 0.716
La 0.716 0.527 0.617
La 0.716 0.690 0.099
La 0.784 0.401 0.810
La 0.784 0.883 0.973
La 0.810 0.527 0.409
La 0.810 0.784 0.401
La 0.883 0.409 0.099
La 0.883 0.973 0.784
La 0.901 0.117 0.591
La 0.901 0.284 0.310
La 0.909 0.027 0.310
La 0.909 0.383 0.599
La 0.973 0.690 0.091
La 0.973 0.784 0.883
Ge 0.125 0.250 0.375
Ge 0.125 0.375 0.750
Ge 0.250 0.375 0.125
Ge 0.250 0.875 0.625
Ge 0.375 0.125 0.250
Ge 0.375 0.750 0.125
Ge 0.625 0.250 0.875
Ge 0.625 0.875 0.750
Ge 0.750 0.125 0.375
Ge 0.750 0.625 0.875
Ge 0.875 0.625 0.250
Ge 0.875 0.750 0.625
H 0.000 0.000 0.000
H 0.000 0.000 0.500
H 0.000 0.500 0.000
H 0.000 0.500 0.500
H 0.125 0.750 0.875
H 0.125 0.875 0.250
H 0.250 0.125 0.875
H 0.250 0.625 0.375
H 0.375 0.250 0.625
H 0.375 0.625 0.750
H 0.500 0.000 0.000
H 0.500 0.000 0.500
H 0.500 0.500 0.000
H 0.500 0.500 0.500
H 0.625 0.375 0.250
H 0.625 0.750 0.375
H 0.750 0.375 0.625
H 0.750 0.875 0.125
H 0.875 0.125 0.750
H 0.875 0.250 0.125
```

Summary:
The value obtained for the final energy is -4.8904 eV/atom.

(5)
The following is a DFT calculation (PBE-GGA) of a relaxed structure of Bi2Pd17. Values from VASP.

```
&SYSTEM
  ibrav = 0, nat = 19, ntyp = 2
/
ATOMIC_SPECIES
Bi 208.98 Bi.upf
Pd 106.42 Pd.upf
CELL_PARAMETERS angstrom
4.561 2.633 4.599
-4.561 2.633 4.599
0.000 -5.266 4.599
ATOMIC_POSITIONS crystal
Bi 0.191 0.191 0.191
Bi 0.809 0.809 0.809
Pd 0.000 0.500 0.500
Pd 0.160 0.160 0.668
Pd 0.160 0.668 0.160
Pd 0.179 0.500 0.821
Pd 0.179 0.821 0.500
Pd 0.332 0.840 0.840
Pd 0.401 0.401 0.401
Pd 0.500 0.000 0.500
Pd 0.500 0.179 0.821
Pd 0.500 0.500 0.000
Pd 0.500 0.821 0.179
Pd 0.599 0.599 0.599
Pd 0.668 0.160 0.160
Pd 0.821 0.179 0.500
Pd 0.821 0.500 0.179
Pd 0.840 0.332 0.840
Pd 0.840 0.840 0.332
```

Summary:
As for the formation energy from the elements: 57 kJ/mol of formula units.

(6)
The following is a DFT calculation (PBE-GGA) of a relaxed structure of Ir2OsRu. Values from VASP.

```
&SYSTEM
  ibrav = 0, nat = 16, ntyp = 3
/
ATOMIC_SPECIES
Ir 192.22 Ir.upf
Os 190.23 Os.upf
Ru 101.07 Ru.upf
CELL_PARAMETERS angstrom
8.499 0.000 0.000
0.000 2.734 0.000
0.000 0.000 9.987
ATOMIC_POSITIONS crystal
Ir 0.024 0.250 0.127
Ir 0.248 0.750 0.999
Ir 0.252 0.250 0.499
Ir 0.476 0.750 0.627
Ir 0.524 0.250 0.373
Ir 0.748 0.750 0.501
Ir 0.752 0.250 0.001
Ir 0.976 0.750 0.873
Os 0.025 0.750 0.616
Os 0.475 0.250 0.116
Os 0.525 0.750 0.884
Os 0.975 0.250 0.384
Ru 0.245 0.250 0.767
Ru 0.255 0.750 0.267
Ru 0.745 0.250 0.733
Ru 0.755 0.750 0.233
```

Summary:
As for the formation energy from the elements: 29 kJ/mol of formula units. The value obtained for the energy relative to the lowest polymorph listed for this composition is 70 meV/atom.

(7)
The following is a DFT calculation (PBE-GGA) of a relaxed structure of Ce3YTl4. Values from VASP.

```
&SYSTEM
  ibrav = 0, nat = 8, ntyp = 3
/
ATOMIC_SPECIES
Ce 140.12 Ce.upf
Y 88.91 Y.upf
Tl 204.38 Tl.upf
CELL_PARAMETERS angstrom
3.535 0.000 0.000
0.000 3.535 0.000
0.000 0.000 18.134
ATOMIC_POSITIONS crystal
Ce 0.000 0.000 0.000
Ce 0.000 0.000 0.254
Ce 0.000 0.000 0.746
Y 0.000 0.000 0.500
Tl 0.500 0.500 0.127
Tl 0.500 0.500 0.380
Tl 0.500 0.500 0.620
Tl 0.500 0.500 0.873
```

Summary:
As for the formation energy from the elements: -211 kJ/mol of formula units.

(8)
The following is a DFT calculation (PBE-GGA) of a relaxed structure of La2Sm2Se2S3. Values from VASP.

```
&SYSTEM
  ibrav = 0, nat = 9, ntyp = 4
/
ATOMIC_SPECIES
La 138.91 La.upf
Sm 150.36 Sm.upf
Se 78.96 Se.upf
S 32.06 S.upf
CELL_PARAMETERS angstrom
-2.761 2.761 7.672
2.761 -2.761 7.672
2.761 2.761 -7.672
ATOMIC_POSITIONS crystal
La 0.202 0.202 0.000
La 0.798 0.798 0.000
Sm 0.000 0.500 0.500
Sm 0.500 0.000 0.500
Se 0.399 0.399 0.000
Se 0.601 0.601 0.000
S 0.000 0.000 0.000
S 0.250 0.750 0.500
S 0.750 0.250 0.500
```

Summary:
The calculation puts the uncorrected formation energy at -1777 meV/atom.

We obtain volume values of 11.1; 22.5; 28.4; 26.3; 17.4; 14.5; 28.3; 26.0 A^3/atom for the records listed above, in that order.